## w
Below is a relaxed structure of TcAgSb2, with properties calculated at the PBE level.

The magnetic moment comes out at 0.0 Bohr magnetons per cell.

The structure belongs to space group I-42d (No. 122); the cell edges are 6.3612, 6.3612 and 11.5488 Å and the angles 90.00°, 90.00° and 90.00°. The distinct sites, in fractional coordinates, are Tc at (0.0000, 0.0000, 0.0000), Ag at (0.0000, 0.0000, 0.5000) and Sb at (0.2199, 0.2500, 0.1250).

---

## x
Below is a relaxed structure of TcAgSb2, with properties calculated at the PBE level.

The magnetic moment comes out at 0.0 Bohr magnetons per cell.

The structure belongs to space group Amm2 (No. 38); the cell edges are 4.6282, 3.3790 and 10.3353 Å and the angles 90.00°, 90.00° and 90.00°. The distinct sites, in fractional coordinates, are Tc at (0.0000, 0.0000, 0.0000), Ag at (0.5000, 0.0000, 0.8308), Sb at (0.0000, 0.0000, 0.2825) and Sb at (0.5000, 0.0000, 0.5650).

---

x (0.284 eV/atom below the next structure)

---

## w
Below is a relaxed structure of KRh, with properties calculated at the PBE level.

The magnetic moment comes out at 1.4 Bohr magnetons per cell.

The structure belongs to space group Cmmm (No. 65); the cell edges are 3.4962, 4.5239 and 5.3663 Å and the angles 90.00°, 90.00° and 90.00°. The distinct sites, in fractional coordinates, are K at (0.0000, 0.0000, 0.0000) and Rh at (0.0000, 0.5000, 0.5000).

---

## x
Below is a relaxed structure of KRh, with properties calculated at the PBE level.

The magnetic moment comes out at 2.7 Bohr magnetons per cell.

The structure belongs to space group Fm-3m (No. 225); the cell edges are 6.1696, 6.1696 and 6.1696 Å and the angles 90.00°, 90.00° and 90.00°. The distinct sites, in fractional coordinates, are K at (0.0000, 0.0000, 0.0000) and Rh at (0.0000, 0.0000, 0.5000).

---

w (0.732 eV/atom below the next structure)

---

## w
Below is a relaxed structure of Zr2ZnCl, with properties calculated at the PBE level.

The magnetic moment comes out at 0.0 Bohr magnetons per cell.

The structure belongs to space group P4/mmm (No. 123); the cell edges are 3.1241, 3.1241 and 7.6374 Å and the angles 90.00°, 90.00° and 90.00°. The distinct sites, in fractional coordinates, are Zr at (0.0000, 0.0000, 0.2424), Zn at (0.5000, 0.5000, 0.0000) and Cl at (0.5000, 0.5000, 0.5000).

---

## x
Below is a relaxed structure of Zr2ZnCl, with properties calculated at the PBE level.

The magnetic moment comes out at 0.0 Bohr magnetons per cell.

The structure belongs to space group C2/m (No. 12); the cell edges are 7.4198, 3.2634 and 6.6459 Å and the angles 90.00°, 102.37° and 90.00°. The distinct sites, in fractional coordinates, are Zr at (0.2469, 0.0000, 0.2466), Zn at (0.0000, 0.5000, 0.0000) and Cl at (0.0000, 0.0000, 0.5000).

---

w (0.078 eV/atom below the next structure)